[1]
CsSrSe2Br | the Alexandria database | PBE | relaxed; raw formation energy = -1049 meV per atom; ρ = 3.456 g/cm3; calculated total energy = -3.284 eV per atom; DOS(E_F) = 6.59 states/eV per cell
1.0
6.0220 0.0000 0.0000
0.0000 6.0220 0.0000
0.0000 0.0000 6.0731
Sr Cs Se Br
1 1 2 1
Direct
0.0000 0.0000 0.0000 Sr
0.5000 0.5000 0.5000 Cs
0.0000 0.5000 0.0000 Se
0.5000 0.0000 0.0000 Se
0.0000 0.0000 0.5000 Br


[2]
CsTaSe2Br | the Alexandria database | PBE | relaxed; raw formation energy = -813 meV per atom; ρ = 6.324 g/cm3; calculated total energy = -5.083 eV per atom; DOS(E_F) = 2.44 states/eV per cell
1.0
-4.0643 2.1997 -2.1724
-2.6951 -4.2790 0.7094
-1.6477 1.8612 4.9673
Br Se Cs Ta
1 2 1 1
Direct
0.0000 0.0000 0.5000 Br
0.0000 0.5000 0.0000 Se
0.5000 0.0000 0.0000 Se
0.5000 0.5000 0.5000 Cs
0.0000 0.0000 0.0000 Ta


[3]
CsTaSe2Br | the Alexandria database | PBE | relaxed; raw formation energy = 1648 meV per atom; ρ = 4.645 g/cm3; calculated total energy = -2.622 eV per atom; DOS(E_F) = 6.86 states/eV per cell
1.0
-1.4820 4.4388 3.1414
0.9813 -2.9842 4.6796
5.8919 1.9580 0.0130
Cs Br Se Ta
1 1 2 1
Direct
0.0000 0.0000 0.0000 Cs
0.0000 0.0000 0.5000 Br
0.0000 0.5000 0.0000 Se
0.5000 0.0000 0.0000 Se
0.5000 0.5000 0.5000 Ta